VASP calculation (PBE-GGA) on La2SiAg2 after structural relaxation.

Geometry as POSCAR:
```
La2SiAg2
1.0
-3.006 3.006 3.780
3.006 -3.006 3.780
3.006 3.006 -3.780
La Si Ag
2 1 2
Cartesian
3.006 0.000 1.890
0.000 3.006 1.890
0.000 0.000 0.000
0.000 0.000 2.505
0.000 0.000 5.054
```

Calculated values
E above lowest polymorph ... 1.00 eV/f.u.
VASP energy ... -21.288 eV/cell


VASP calculation (PBE-GGA) on LiTeP after structural relaxation.

Geometry as POSCAR:
```
LiTeP
1.0
3.069 0.000 0.000
-1.535 2.658 0.000
0.000 0.000 8.121
Li Te P
1 1 1
Cartesian
0.000 0.000 0.000
0.000 1.772 5.675
1.535 0.886 1.929
```

Calculated values
E above lowest polymorph ... 1.13 eV/f.u.
VASP energy ... -9.829 eV/cell


VASP calculation (PBE-GGA) on LaTb2Y after structural relaxation.

Geometry as POSCAR:
```
LaTb2Y
1.0
3.620 0.000 0.000
0.000 3.620 0.000
0.000 0.000 10.181
La Tb Y
1 2 1
Cartesian
0.000 0.000 0.000
1.810 1.810 2.597
1.810 1.810 7.585
0.000 0.000 5.091
```

Calculated values
E above lowest polymorph ... 0.09 eV/f.u.
VASP energy ... -20.538 eV/cell
DFT formation energy ... 0.028 eV per atom


VASP calculation (PBE-GGA) on Cu2TcPt after structural relaxation.

Geometry as POSCAR:
```
Cu2TcPt
1.0
2.685 0.000 0.000
0.000 3.861 0.000
0.000 0.000 5.318
Cu Tc Pt
2 1 1
Cartesian
0.000 0.000 0.000
1.342 1.930 1.174
1.342 1.930 3.872
0.000 0.000 2.649
```

Calculated values
E above lowest polymorph ... 0.24 eV/f.u.
VASP energy ... -24.427 eV/cell
DFT formation energy ... 0.043 eV per atom


VASP calculation (PBE-GGA) on Pm3SmDy4S8 after structural relaxation.

Geometry as POSCAR:
```
Pm3SmDy4S8
1.0
3.949 2.280 6.542
-3.949 2.280 6.542
0.000 -4.560 6.542
Pm Sm Dy S
3 1 4 8
Cartesian
-1.974 -1.140 6.542
-1.974 1.140 13.084
0.000 2.280 6.542
0.000 0.000 0.000
-3.949 0.000 9.813
-1.974 1.140 3.271
1.974 1.140 3.271
0.000 0.000 9.813
-1.980 -1.143 11.368
0.000 0.000 4.820
0.000 -2.286 8.259
-1.980 1.143 8.259
1.980 -1.143 11.368
0.000 2.286 11.368
0.000 0.000 14.806
1.980 1.143 8.259
```

Calculated values
VASP energy ... -102.592 eV/cell


VASP calculation (PBE-GGA) on CsMn3B after structural relaxation.

Geometry as POSCAR:
```
CsMn3B
1.0
4.990 0.000 0.000
0.000 4.990 0.000
0.000 0.000 4.990
Cs Mn B
1 3 1
Cartesian
0.000 0.000 0.000
0.000 0.000 2.495
0.000 2.495 0.000
2.495 0.000 0.000
2.495 2.495 2.495
```

Calculated values
E above lowest polymorph ... 10.73 eV/f.u.
VASP energy ... -19.163 eV/cell
DFT formation energy ... 3.175 eV per atom


VASP calculation (PBE-GGA) on SrPr2Sc after structural relaxation.

Geometry as POSCAR:
```
SrPr2Sc
1.0
3.984 0.000 0.000
0.000 3.984 0.000
0.000 0.000 9.370
Sr Pr Sc
1 2 1
Cartesian
0.000 0.000 0.000
1.992 1.992 2.831
1.992 1.992 6.538
0.000 0.000 4.685
```

Calculated values
E above lowest polymorph ... 0.00 eV/f.u.
VASP energy ... -17.208 eV/cell
DFT formation energy ... 0.091 eV per atom


VASP calculation (PBE-GGA) on Rb2Cd2Cu after structural relaxation.

Geometry as POSCAR:
```
Rb2Cd2Cu
1.0
-3.597 3.597 4.013
3.597 -3.597 4.013
3.597 3.597 -4.013
Rb Cd Cu
2 2 1
Cartesian
3.597 0.000 2.007
0.000 3.597 2.007
0.000 0.000 1.420
0.000 0.000 6.607
0.000 0.000 4.013
```

Calculated values
E above lowest polymorph ... 0.18 eV/f.u.
VASP energy ... -6.777 eV/cell
DFT formation energy ... 0.217 eV per atom


VASP calculation (PBE-GGA) on LiMgZrRu after structural relaxation.

Geometry as POSCAR:
```
LiMgZrRu
1.0
0.000 3.241 3.241
3.241 0.000 3.241
3.241 3.241 0.000
Li Mg Zr Ru
1 1 1 1
Cartesian
0.000 0.000 0.000
4.862 4.862 4.862
1.621 1.621 1.621
3.241 3.241 3.241
```

Calculated values
VASP energy ... -21.970 eV/cell
DFT formation energy ... -0.159 eV per atom


VASP calculation (PBE-GGA) on Pr5Ga2Hg after structural relaxation.

Geometry as POSCAR:
```
Pr5Ga2Hg
1.0
-3.933 3.933 7.719
3.933 -3.933 7.719
3.933 3.933 -7.719
Pr Ga Hg
10 4 2
Cartesian
0.000 0.000 0.000
5.286 1.353 -2.245
1.353 2.580 -2.245
5.286 1.353 2.245
1.353 2.580 2.245
0.000 0.000 7.719
2.580 1.353 5.473
-1.353 2.580 5.473
2.580 1.353 9.964
-1.353 2.580 9.964
3.009 0.924 0.000
3.009 -0.924 7.719
0.924 4.857 0.000
0.924 3.009 7.719
0.000 0.000 3.859
0.000 0.000 11.578
```

Calculated values
E above lowest polymorph ... 0.00 eV/f.u.
VASP energy ... -67.116 eV/cell
DFT formation energy ... -0.413 eV per atom


VASP calculation (PBE-GGA) on FeCoAg after structural relaxation.

Geometry as POSCAR:
```
FeCoAg
1.0
-1.450 1.450 4.915
1.450 -1.450 4.915
1.450 1.450 -4.915
Fe Co Ag
1 1 1
Cartesian
0.000 0.000 0.000
0.000 0.000 3.716
0.000 0.000 6.789
```

Calculated values
E above lowest polymorph ... 0.00 eV/f.u.
VASP energy ... -17.654 eV/cell
DFT formation energy ... 0.255 eV per atom


VASP calculation (PBE-GGA) on SrPdW after structural relaxation.

Geometry as POSCAR:
```
SrPdW
1.0
6.024 -1.900 0.000
6.024 1.900 0.000
-4.659 0.000 6.406
Sr Pd W
2 2 2
Cartesian
0.000 0.000 0.000
-0.860 0.000 3.664
2.659 0.000 4.151
7.562 0.000 2.459
3.246 0.000 1.399
4.055 0.000 6.336
```

Calculated values
E above lowest polymorph ... 0.49 eV/f.u.
VASP energy ... -37.757 eV/cell
DFT formation energy ... 0.316 eV per atom


VASP calculation (PBE-GGA) on Er2ZnCo after structural relaxation.

Geometry as POSCAR:
```
Er2ZnCo
1.0
3.366 0.000 0.000
0.000 3.366 0.000
0.000 0.000 7.134
Er Zn Co
2 1 1
Cartesian
0.000 0.000 1.617
0.000 0.000 5.517
1.683 1.683 3.567
1.683 1.683 0.000
```

Calculated values
E above lowest polymorph ... 0.00 eV/f.u.
VASP energy ... -18.669 eV/cell
DFT formation energy ... -0.291 eV per atom


VASP calculation (PBE-GGA) on NbCuRh after structural relaxation.

Geometry as POSCAR:
```
NbCuRh
1.0
3.194 -3.206 0.000
3.194 3.206 0.000
0.000 0.000 5.237
Nb Cu Rh
2 2 2
Cartesian
1.597 0.000 0.000
4.790 0.000 0.000
3.194 1.603 3.693
3.194 -1.603 1.544
3.194 1.603 1.253
3.194 -1.603 3.984
```

Calculated values
VASP energy ... -42.055 eV/cell
DFT formation energy ... 0.163 eV per atom


VASP calculation (PBE-GGA) on La6Pt3Rh after structural relaxation.

Geometry as POSCAR:
```
La6Pt3Rh
1.0
12.205 0.000 0.000
0.000 4.171 0.000
-4.749 0.000 11.922
La Pt Rh
12 6 2
Cartesian
-1.238 1.043 4.873
-3.295 3.128 11.194
-0.736 1.043 8.962
1.835 3.128 3.080
2.139 1.043 6.689
4.896 1.043 1.229
2.559 3.128 10.694
5.317 3.128 5.234
5.620 1.043 8.842
8.191 3.128 2.960
10.751 1.043 0.729
8.693 3.128 7.049
-1.058 3.128 2.673
-0.381 3.128 11.159
3.591 1.043 4.040
3.864 3.128 7.882
7.836 1.043 0.763
8.514 1.043 9.249
-0.404 3.128 6.806
7.859 1.043 5.116
```

Calculated values
VASP energy ... -127.375 eV/cell
DFT formation energy ... -0.865 eV per atom


VASP calculation (PBE-GGA) on Mo5P2 after structural relaxation.

Geometry as POSCAR:
```
Mo5P2
1.0
6.757 -2.643 0.000
6.757 2.643 0.000
-0.602 0.000 5.875
Mo P
10 4
Cartesian
2.818 0.657 1.701
6.305 2.092 4.406
5.447 0.476 0.417
2.517 -0.657 4.639
5.146 -0.476 3.354
7.765 0.476 2.521
10.395 0.657 1.236
7.464 -0.476 5.458
6.606 -2.092 1.469
10.093 -0.657 4.174
4.975 1.724 2.438
8.237 1.724 0.499
4.674 -1.724 5.376
7.936 -1.724 3.437
```

Calculated values
VASP energy ... -133.782 eV/cell
DFT formation energy ... -0.274 eV per atom


VASP calculation (PBE-GGA) on YBeIO2 after structural relaxation.

Geometry as POSCAR:
```
YBeIO2
1.0
4.154 0.000 0.000
0.000 4.154 0.000
0.000 0.000 6.079
Y Be I O
1 1 1 2
Cartesian
0.000 0.000 0.000
2.077 2.077 0.000
0.000 0.000 3.040
0.000 2.077 3.040
2.077 0.000 3.040
```

Calculated values
E above lowest polymorph ... 6.23 eV/f.u.
VASP energy ... -19.989 eV/cell


VASP calculation (PBE-GGA) on AcHo2ErSe4 after structural relaxation.

Geometry as POSCAR:
```
AcHo2ErSe4
1.0
7.133 0.000 0.000
0.000 4.075 0.000
-2.337 0.000 7.019
Ac Ho Er Se
1 2 1 4
Cartesian
0.000 0.000 0.000
2.398 0.000 3.509
3.567 2.038 0.000
-1.168 2.038 3.509
0.111 0.000 5.178
1.283 2.038 1.908
3.513 2.038 5.111
4.685 0.000 1.841
```

Calculated values
VASP energy ... -45.456 eV/cell


VASP calculation (PBE-GGA) on Y2TlP after structural relaxation.

Geometry as POSCAR:
```
Y2TlP
1.0
3.533 0.000 0.000
0.000 3.533 0.000
0.000 0.000 7.747
Y Tl P
2 1 1
Cartesian
0.000 0.000 1.635
0.000 0.000 6.113
1.766 1.766 3.874
1.766 1.766 0.000
```

Calculated values
E above lowest polymorph ... 1.09 eV/f.u.
VASP energy ... -23.607 eV/cell
DFT formation energy ... -0.726 eV per atom


VASP calculation (PBE-GGA) on SmErTcAu after structural relaxation.

Geometry as POSCAR:
```
SmErTcAu
1.0
0.000 3.525 3.525
3.525 0.000 3.525
3.525 3.525 0.000
Sm Er Tc Au
1 1 1 1
Cartesian
0.000 0.000 0.000
3.525 3.525 3.525
1.763 1.763 1.763
5.288 5.288 5.288
```

Calculated values
VASP energy ... -24.184 eV/cell
DFT formation energy ... -0.315 eV per atom